No. 1
## TlTeP (PBE-GGA)

Data for a relaxed TlTeP crystal.

a b c (Å): 7.017 7.017 7.017
angles (deg): 90.00 90.00 90.00
Space group F-43m (No. 216)
One atom of each set of equivalent atoms:
Tl 0.000 0.000 0.000 (multiplicity 4)
Te 0.000 0.000 0.500 (multiplicity 4)
P 0.250 0.250 0.250 (multiplicity 4)

Output
E_tot	-3.195	eV/atom
M_tot	0.0	Bohr magnetons per cell

No. 2
## TlTe2P2 (PBE-GGA)

Data for a relaxed TlTe2P2 crystal.

a b c (Å): 4.559 4.559 13.659
angles (deg): 90.00 90.00 90.00
Space group I4/mmm (No. 139)
One atom of each set of equivalent atoms:
Tl 0.000 0.000 0.000 (multiplicity 2)
Te 0.000 0.500 0.250 (multiplicity 4)
P 0.000 0.000 0.427 (multiplicity 4)

Output
E_tot	-3.587	eV/atom
M_tot	0.0	Bohr magnetons per cell

Q: Number 1 is which compound?
A: TlTeP